# UPa3Al

Crystalline UPa3Al at its relaxed geometry (PBE, the Alexandria database).

a = 9.9121 Å, b = 5.3795 Å, c = 9.0280 Å
α = 90.00°, β = 104.56°, γ = 90.00°
Last column: nearest neighbours and their distance in Å.
Space group C2/m (No. 12)
Symmetry-distinct sites (fractional):
U1 0.1199 0.0000 0.4370 [4 per cell]  6 Pa 2.68-2.97, 1 U 2.88
Pa1 0.1054 0.5000 0.4077 [4 per cell]  3 U 2.70-2.73, 1 Pa 2.98
Pa2 0.1240 0.0000 0.1412 [4 per cell]  1 U 2.68
Pa3 0.1582 0.0000 0.7743 [4 per cell]  2 U 2.93-2.97, 2 Pa 3.08-3.18, 3 Al 3.15-3.21
Al1 0.0905 0.5000 0.9219 [4 per cell]  1 Al 2.55

Properties
Calculated formation energy in eV per atom: 0.194
D(E_F) in states/eV/cell: 40.19

***

# In2IrWCl

Crystalline In2IrWCl at its relaxed geometry (PBE, the Alexandria database).

a = 5.0809 Å, b = 5.0809 Å, c = 4.4676 Å
α = 90.00°, β = 90.00°, γ = 90.00°
Last column: nearest neighbours and their distance in Å.
Space group P4/mmm (No. 123)
Symmetry-distinct sites (fractional):
In1 0.0000 0.5000 0.0000 [2 per cell]  2 Cl 2.54
Ir1 0.0000 0.0000 0.5000 [1 per cell]  2 Cl 2.23
W1 0.5000 0.5000 0.5000 [1 per cell]  8 In 3.38, 4 Ir 3.59
Cl1 0.0000 0.0000 0.0000 [1 per cell]  2 Ir 2.23

Properties
D(E_F) in states/eV/cell: 3.83
ΔE_f (raw) in eV/atom: 1.623

***

# ScPtSe2

Crystalline ScPtSe2 at its relaxed geometry (PBE, the Alexandria database).

a = 4.0163 Å, b = 6.0088 Å, c = 6.7303 Å
α = 90.00°, β = 90.00°, γ = 90.00°
Last column: nearest neighbours and their distance in Å.
Space group Cmmm (No. 65)
Symmetry-distinct sites (fractional):
Sc1 0.0000 0.0000 0.0000 [2 per cell]  4 Se 2.65
Pt1 0.0000 0.0000 0.5000 [2 per cell]  4 Se 2.59
Se1 0.0000 0.5000 0.2580 [4 per cell]  2 Pt 2.59, 2 Sc 2.65

Properties
D(E_F) in states/eV/cell: 4.82
Polymorph energy (0 for the lowest one) in meV per atom: 474
ΔE_f (raw) in eV/atom: -0.523

***

# AcTb2Ag2Pb2

Crystalline AcTb2Ag2Pb2 at its relaxed geometry (PBE, the Alexandria database).

a = 5.0077 Å, b = 5.0077 Å, c = 27.4395 Å
α = 90.00°, β = 90.00°, γ = 120.00°
Last column: nearest neighbours and their distance in Å.
Space group R-3m (No. 166, hexagonal axes)
Symmetry-distinct sites (fractional):
Ac1 0.0000 0.0000 0.0000 [3 per cell]  6 Pb 3.51, 2 Tb 3.73
Tb1 0.0000 0.0000 0.1358 [6 per cell]  3 Ag 2.97
Ag1 0.0000 0.0000 0.4451 [6 per cell]  3 Tb 2.97, 1 Ag 3.02, 3 Pb 3.08
Pb1 0.0000 0.0000 0.2606 [6 per cell]  3 Ag 3.08, 4 Tb 3.37-3.42

Properties
Calculated formation energy in eV per atom: -0.345
D(E_F) in states/eV/cell: 10.82

***

# YLuCu

Crystalline YLuCu at its relaxed geometry (PBE, the Alexandria database).

a = 3.4459 Å, b = 3.4459 Å, c = 12.2370 Å
α = 90.00°, β = 90.00°, γ = 90.00°
Last column: nearest neighbours and their distance in Å.
Space group I4mm (No. 107)
Symmetry-distinct sites (fractional):
Y1 0.0000 0.0000 0.0000 [2 per cell]  4 Cu 3.04, 1 Lu 3.38
Lu1 0.0000 0.0000 0.2765 [2 per cell]  4 Cu 2.90
Cu1 0.0000 0.0000 0.6481 [2 per cell]  4 Lu 2.90, 4 Y 3.04

Properties
Calculated formation energy in eV per atom: -0.148
D(E_F) in states/eV/cell: 7.47
Polymorph energy (0 for the lowest one) in meV per atom: 0

***

# Sm3SnRh

Crystalline Sm3SnRh at its relaxed geometry (PBE, the Alexandria database).

a = 7.5336 Å, b = 4.7587 Å, c = 8.4460 Å
α = 90.00°, β = 113.01°, γ = 90.00°
Last column: nearest neighbours and their distance in Å.
Space group P2_1/m (No. 11)
Symmetry-distinct sites (fractional):
Sm1 0.0493 0.2500 0.2472 [2 per cell]  3 Rh 2.88-3.05
Sm2 0.3217 0.2500 0.9286 [2 per cell]  1 Rh 2.67
Sm3 0.3462 0.7500 0.5946 [2 per cell]  3 Rh 2.97-3.12, 1 Sn 3.33
Sn1 0.3097 0.7500 0.1892 [2 per cell]  9 Sm 3.24-3.62
Rh1 0.0793 0.2500 0.5978 [2 per cell]  3 Sm 2.67-2.97, 2 Rh 2.88

Properties
Calculated formation energy in eV per atom: -0.636
D(E_F) in states/eV/cell: 9.50

***

# FeNiTe2

Crystalline FeNiTe2 at its relaxed geometry (PBE, the Alexandria database).

a = 3.6272 Å, b = 3.6272 Å, c = 23.3919 Å
α = 90.00°, β = 90.00°, γ = 120.00°
Last column: nearest neighbours and their distance in Å.
Space group R-3m (No. 166, hexagonal axes)
Symmetry-distinct sites (fractional):
Fe1 0.0000 0.0000 0.0000 [3 per cell]  6 Te 2.56
Ni1 0.0000 0.0000 0.5000 [3 per cell]  2 Te 2.42
Te1 0.0000 0.0000 0.3966 [6 per cell]  1 Ni 2.42, 3 Fe 2.56

Properties
D(E_F) in states/eV/cell: 23.16
Polymorph energy (0 for the lowest one) in meV per atom: 379
ΔE_f (raw) in eV/atom: 0.285

***

# TiGa3Co

Crystalline TiGa3Co at its relaxed geometry (PBE, the Alexandria database).

a = 3.9388 Å, b = 6.2308 Å, c = 6.3390 Å
α = 90.00°, β = 90.00°, γ = 90.00°
Last column: nearest neighbours and their distance in Å.
Space group Pmmn (No. 59, origin choice 2)
Symmetry-distinct sites (fractional):
Ti1 0.2500 0.2500 0.1840 [2 per cell]  2 Co 2.62, 6 Ga 2.66-2.77
Ga1 0.2500 0.0375 0.8010 [4 per cell]  3 Co 2.48-2.55, 2 Ga 2.65-2.77, 3 Ti 2.66-2.77
Ga2 0.2500 0.7500 0.4679 [2 per cell]  1 Co 2.41
Co1 0.2500 0.7500 0.0874 [2 per cell]  7 Ga 2.41-2.55, 2 Ti 2.62

Properties
Calculated formation energy in eV per atom: -0.219
D(E_F) in states/eV/cell: 9.47
Polymorph energy (0 for the lowest one) in meV per atom: 62

***

Number 1: spin magnetization 0.000 μB per formula unit. Number 2: spin magnetization 2.942 μB per formula unit. Number 3: spin magnetization 0.000 μB per formula unit. Number 4: spin magnetization 0.000 μB per formula unit. Number 5: spin magnetization 0.390 μB per formula unit. Number 6: spin magnetization 0.000 μB per formula unit. Number 7: spin magnetization 1.422 μB per formula unit. Number 8: spin magnetization 0.000 μB per formula unit.